VASP calculation (PBE) on crystalline CdIn3Pd2 at its relaxed geometry.

CIF file:
```
data_CdIn3Pd2
_cell_length_a 7.720
_cell_length_b 7.720
_cell_length_c 4.685
_cell_angle_alpha 90.00
_cell_angle_beta 90.00
_cell_angle_gamma 69.54
_symmetry_space_group_name_H-M 'P 1'
_symmetry_Int_Tables_number 1
loop_
_symmetry_equiv_pos_as_xyz
'x,y,z'
loop_
_atom_site_label
_atom_site_fract_x
_atom_site_fract_y
_atom_site_fract_z
Cd1 0.152 0.848 0.750
Cd2 0.848 0.152 0.250
In1 0.122 0.379 0.250
In2 0.379 0.122 0.750
In3 0.395 0.605 0.250
In4 0.605 0.395 0.750
In5 0.621 0.878 0.250
In6 0.878 0.621 0.750
Pd1 0.000 0.246 0.750
Pd2 0.000 0.754 0.250
Pd3 0.246 0.000 0.250
Pd4 0.754 0.000 0.750
```

Calculated values
The crystal system is orthorhombic. The energy of formation comes out at -338.5 meV/atom. As for the total energy: -21.55 eV/f.u.